Record 1
{"formula": "ErGa3Cu3", "functional": "PBE", "state": "relaxed", "volume_a3_per_atom": 20.2, "space_group": "No. 223", "crystal_system": "cubic", "e_form_ev_per_atom": 0.180, "polymorph_energy_kj_per_mol_atoms": 43.9, "dft_energy_ev_per_atom": -3.524, "lattice": [[6.566, 0.000, 0.000], [0.000, 6.566, 0.000], [0.000, 0.000, 6.566]], "species": ["Cu", "Cu", "Cu", "Cu", "Cu", "Cu", "Ga", "Ga", "Ga", "Ga", "Ga", "Ga", "Er", "Er"], "fractional_positions": [[0.250, 0.000, 0.500], [0.000, 0.500, 0.250], [0.500, 0.750, 0.000], [0.750, 0.000, 0.500], [0.000, 0.500, 0.750], [0.500, 0.250, 0.000], [0.000, 0.250, 0.500], [0.000, 0.750, 0.500], [0.500, 0.000, 0.750], [0.750, 0.500, 0.000], [0.500, 0.000, 0.250], [0.250, 0.500, 0.000], [0.500, 0.500, 0.500], [0.000, 0.000, 0.000]]}

---

Record 2
{"formula": "ErGa2Cu3", "functional": "PBE", "state": "relaxed", "volume_a3_per_atom": 16.2, "space_group": "No. 194", "crystal_system": "hexagonal", "e_form_ev_per_atom": -0.318, "dft_energy_ev_per_atom": -4.135, "lattice": [[-4.071, -0.616, 0.656], [2.763, -1.005, 2.956], [-0.994, 11.849, 4.959]], "species": ["Er", "Er", "Ga", "Ga", "Ga", "Ga", "Cu", "Cu", "Cu", "Cu", "Cu", "Cu"], "fractional_positions": [[0.000, 0.000, 0.250], [0.000, 0.000, 0.750], [0.667, 0.333, 0.389], [0.333, 0.667, 0.611], [0.333, 0.667, 0.889], [0.667, 0.333, 0.111], [0.000, 0.000, 0.500], [0.000, 0.000, 0.000], [0.667, 0.333, 0.587], [0.333, 0.667, 0.087], [0.667, 0.333, 0.913], [0.333, 0.667, 0.413]]}

---

Record 3
{"formula": "Er4GaCu3", "functional": "PBE", "state": "relaxed", "volume_a3_per_atom": 20.8, "space_group": "No. 166", "crystal_system": "trigonal", "e_form_ev_per_atom": -0.354, "polymorph_energy_kj_per_mol_atoms": 0.0, "dft_energy_ev_per_atom": -4.550, "lattice": [[-3.214, -0.530, 3.653], [-4.676, -1.057, -0.988], [-0.935, -8.358, 1.243]], "species": ["Cu", "Cu", "Cu", "Ga", "Er", "Er", "Er", "Er"], "fractional_positions": [[0.253, 0.253, 0.242], [0.747, 0.747, 0.758], [0.500, 0.500, 0.500], [0.000, 0.000, 0.000], [0.873, 0.873, 0.382], [0.378, 0.378, 0.866], [0.127, 0.127, 0.618], [0.622, 0.622, 0.134]]}

---

Question: What is the formula in the second record?
Answer: ErGa2Cu3